1.
DFT (GGA-PBE) results for an optimized crystal structure of Mg2Ag2P.

Values from the calculation:
- energy relative to the elements (kJ/mol of atoms) = 30.8
- offset from the most stable computed form (eV/f.u.) = 1.75
- SG = I4/mmm, No. 139

Cell lengths 3.9484, 3.9484, 12.9427 Å; angles 90.00, 90.00, 90.00 degrees
Closest atoms and distances in Å follow each position.
Element x y z (fractional)
Mg 0.0000 0.5000 0.2500  4 Ag 2.75, 4 Mg 2.79
Mg 0.0000 0.5000 0.7500  4 Ag 2.75, 4 Mg 2.79
Mg 0.5000 0.0000 0.2500  4 Ag 2.75, 4 Mg 2.79
Mg 0.5000 0.0000 0.7500  4 Ag 2.75, 4 Mg 2.79
Ag 0.0000 0.0000 0.1024  1 Ag 2.65, 4 Mg 2.75
Ag 0.0000 0.0000 0.8976  1 Ag 2.65, 4 Mg 2.75
Ag 0.5000 0.5000 0.3976  1 Ag 2.65, 4 Mg 2.75
Ag 0.5000 0.5000 0.6024  1 Ag 2.65, 4 Mg 2.75
P 0.0000 0.0000 0.5000  8 Ag 3.09
P 0.5000 0.5000 0.0000  8 Ag 3.09

=====

2.
DFT (GGA-PBE) results for an optimized crystal structure of SmTh2PaSb4.

Values from the calculation:
- total DFT energy (no corrections) (Ry per atom) = -0.4813
- SG = P2/m, No. 10

Cell lengths 7.7252, 4.4567, 7.7323 Å; angles 90.00, 109.40, 90.00 degrees
Closest atoms and distances in Å follow each position.
Element x y z (fractional)
Sm 0.0000 0.0000 0.0000  6 Sb 3.13-3.14
Th 0.5000 0.0000 0.5000  6 Sb 3.17-3.18
Th 0.5000 0.5000 0.0000  6 Sb 3.20
Pa 0.0000 0.5000 0.5000  6 Sb 3.11
Sb 0.2417 0.0000 0.7451  2 Pa 3.11, 1 Sm 3.13, 3 Th 3.18-3.20
Sb 0.2438 0.5000 0.2511  1 Pa 3.11, 2 Sm 3.14, 3 Th 3.17-3.20
Sb 0.7562 0.5000 0.7489  1 Pa 3.11, 2 Sm 3.14, 3 Th 3.17-3.20
Sb 0.7583 0.0000 0.2549  2 Pa 3.11, 1 Sm 3.13, 3 Th 3.18-3.20

=====

3.
DFT (GGA-PBE) results for an optimized crystal structure of Pt4Au5.

Values from the calculation:
- energy relative to the elements (kJ/mol of atoms) = 4.7
- SG = I4/mmm, No. 139

Cell lengths 6.5130, 6.5130, 6.5130 Å; angles 95.31, 95.31, 144.56 degrees
Closest atoms and distances in Å follow each position.
Element x y z (fractional)
Pt 0.0000 0.3402 0.3402  5 Pt 2.80, 7 Au 2.90-2.98
Pt 0.0000 0.6598 0.6598  5 Pt 2.80, 7 Au 2.90-2.98
Pt 0.3402 0.0000 0.3402  5 Pt 2.80, 7 Au 2.90-2.98
Pt 0.6598 0.0000 0.6598  5 Pt 2.80, 7 Au 2.90-2.98
Au 0.0000 0.0000 0.0000  8 Au 2.87, 4 Pt 2.98
Au 0.3323 0.3323 0.6646  6 Au 2.85-2.94, 6 Pt 2.90-2.92
Au 0.3323 0.6677 0.0000  6 Au 2.85-2.94, 6 Pt 2.90-2.92
Au 0.6677 0.3323 0.0000  6 Au 2.85-2.94, 6 Pt 2.90-2.92
Au 0.6677 0.6677 0.3354  6 Au 2.85-2.94, 6 Pt 2.90-2.92

=====

4.
DFT (GGA-PBE) results for an optimized crystal structure of Li2ScHg8.

Values from the calculation:
- energy relative to the elements (kJ/mol of atoms) = -20.0
- SG = Immm, No. 71

Cell lengths 8.0973, 8.0973, 8.0973 Å; angles 145.84, 124.44, 66.86 degrees
Closest atoms and distances in Å follow each position.
Element x y z (fractional)
Li 0.2040 0.2040 0.0000  10 Hg 2.94-3.13
Li 0.7960 0.7960 0.0000  10 Hg 2.94-3.13
Sc 0.5000 0.5000 0.0000  12 Hg 2.98-3.31
Hg 0.0591 0.3523 0.7068  3 Li 2.94-2.99, 1 Sc 2.98, 6 Hg 3.05-3.25
Hg 0.1956 0.0000 0.1956  7 Hg 2.95-3.14, 2 Li 3.13, 2 Sc 3.31
Hg 0.3416 0.8416 0.5000  2 Li 3.02, 8 Hg 3.05-3.25, 2 Sc 3.20
Hg 0.3545 0.6477 0.7068  3 Li 2.94-2.99, 1 Sc 2.98, 6 Hg 3.05-3.25
Hg 0.6455 0.3523 0.2932  3 Li 2.94-2.99, 1 Sc 2.98, 6 Hg 3.05-3.25
Hg 0.6584 0.1584 0.5000  2 Li 3.02, 8 Hg 3.05-3.25, 2 Sc 3.20
Hg 0.8044 0.0000 0.8044  7 Hg 2.95-3.14, 2 Li 3.13, 2 Sc 3.31
Hg 0.9409 0.6477 0.2932  3 Li 2.94-2.99, 1 Sc 2.98, 6 Hg 3.05-3.25

=====

5.
DFT (GGA-PBE) results for an optimized crystal structure of SrTm6.

Values from the calculation:
- energy relative to the elements (kJ/mol of atoms) = 132.5
- SG = Im-3m, No. 229

Cell lengths 8.4464, 8.4464, 8.4464 Å; angles 90.00, 90.00, 90.00 degrees
Closest atoms and distances in Å follow each position.
Element x y z (fractional)
Sr 0.0000 0.0000 0.0000  24 Tm 4.72
Sr 0.5000 0.5000 0.5000  24 Tm 4.72
Tm 0.0000 0.2500 0.5000  4 Tm 2.99
Tm 0.0000 0.5000 0.2500  4 Tm 2.99
Tm 0.0000 0.5000 0.7500  4 Tm 2.99
Tm 0.0000 0.7500 0.5000  4 Tm 2.99
Tm 0.2500 0.0000 0.5000  4 Tm 2.99
Tm 0.2500 0.5000 0.0000  4 Tm 2.99
Tm 0.5000 0.0000 0.2500  4 Tm 2.99
Tm 0.5000 0.0000 0.7500  4 Tm 2.99
Tm 0.5000 0.2500 0.0000  4 Tm 2.99
Tm 0.5000 0.7500 0.0000  4 Tm 2.99
Tm 0.7500 0.0000 0.5000  4 Tm 2.99
Tm 0.7500 0.5000 0.0000  4 Tm 2.99

=====

6.
DFT (GGA-PBE) results for an optimized crystal structure of Nb4Ga5.

Values from the calculation:
- energy relative to the elements (kJ/mol of atoms) = -4.2
- SG = I4/m, No. 87

Cell lengths 6.1297, 6.1297, 6.1297 Å; angles 100.43, 100.43, 129.63 degrees
Closest atoms and distances in Å follow each position.
Element x y z (fractional)
Nb 0.0525 0.3386 0.3911  1 Nb 2.66, 6 Ga 2.69-2.82
Nb 0.3386 0.9475 0.2861  1 Nb 2.66, 6 Ga 2.69-2.82
Nb 0.6614 0.0525 0.7139  1 Nb 2.66, 6 Ga 2.69-2.82
Nb 0.9475 0.6614 0.6089  1 Nb 2.66, 6 Ga 2.69-2.82
Ga 0.0000 0.0000 0.0000  4 Nb 2.69
Ga 0.2895 0.6030 0.8924  2 Ga 2.60, 5 Nb 2.72-2.82
Ga 0.3970 0.2895 0.6865  2 Ga 2.60, 5 Nb 2.72-2.82
Ga 0.6030 0.7105 0.3135  2 Ga 2.60, 5 Nb 2.72-2.82
Ga 0.7105 0.3970 0.1076  2 Ga 2.60, 5 Nb 2.72-2.82

=====

7.
DFT (GGA-PBE) results for an optimized crystal structure of La3CeFe.

Values from the calculation:
- energy relative to the elements (kJ/mol of atoms) = 20.9
- offset from the most stable computed form (eV/f.u.) = 1.00
- SG = Pm-3m, No. 221

Cell lengths 5.4462, 5.4462, 5.4462 Å; angles 90.00, 90.00, 90.00 degrees
Closest atoms and distances in Å follow each position.
Element x y z (fractional)
La 0.0000 0.0000 0.5000  2 Fe 2.72
La 0.0000 0.5000 0.0000  2 Fe 2.72
La 0.5000 0.0000 0.0000  2 Fe 2.72
Ce 0.5000 0.5000 0.5000  12 La 3.85
Fe 0.0000 0.0000 0.0000  6 La 2.72

=====

8.
DFT (GGA-PBE) results for an optimized crystal structure of Na4Pb2Au.

Values from the calculation:
- energy relative to the elements (kJ/mol of atoms) = -16.3
- SG = P1, No. 1

Cell lengths 6.0680, 7.9302, 8.8206 Å; angles 98.55, 104.47, 106.86 degrees
Closest atoms and distances in Å follow each position.
Element x y z (fractional)
Na 0.0000 0.0000 0.0000  2 Au 3.10-3.35, 5 Na 3.11-3.43, 2 Pb 3.27-3.43
Na 0.0031 0.4873 0.5570  1 Au 3.12, 2 Pb 3.26-3.47, 2 Na 3.41-3.49
Na 0.0528 0.3959 0.1495  2 Au 2.98-3.01, 3 Na 3.11-3.29, 2 Pb 3.19-3.24
Na 0.1385 0.9720 0.6496  3 Na 3.15-3.42, 2 Au 3.16-3.22, 4 Pb 3.34-3.46
Na 0.6116 0.5599 0.2094  3 Na 3.13-3.42, 2 Au 3.16-3.22, 4 Pb 3.34-3.49
Na 0.7001 0.1405 0.7098  2 Au 2.98-3.00, 3 Na 3.12-3.29, 2 Pb 3.19-3.23
Na 0.7451 0.0468 0.3018  1 Au 3.11, 2 Pb 3.25-3.46, 1 Na 3.42
Na 0.7517 0.5370 0.8591  2 Au 3.10-3.36, 5 Na 3.12-3.43, 2 Pb 3.28-3.42
Pb 0.1994 0.8211 0.2935  2 Pb 3.16-3.33, 5 Na 3.19-3.39
Pb 0.3726 0.2677 0.4325  8 Na 3.23-3.54, 2 Pb 3.32-3.33
Pb 0.3752 0.7670 0.9296  2 Au 3.01
Pb 0.5487 0.7150 0.5640  2 Pb 3.16-3.32, 5 Na 3.19-3.39
Au 0.2246 0.3591 0.8582  1 Au 2.84, 5 Na 2.98-3.16, 1 Pb 3.01
Au 0.5288 0.1747 0.9997  1 Au 2.84, 5 Na 2.98-3.16, 1 Pb 3.01